Computed, not measured: a geometry-optimized RbBaCoO3 structure at the PBE with a Hubbard U level of DFT.

Unit cell a=13.9715 b=3.9999 c=8.2240 alpha=90.00 beta=107.02 gamma=90.00
With the nearest neighbours (Å) after each atom.
Space group C2/m (No. 12)
Symmetry-distinct sites (fractional):
Rb1 0.1422 0.0000 0.0649 (multiplicity 4)  7 O 2.95-3.07
Ba1 0.1515 0.0000 0.5843 (multiplicity 4)  7 O 2.71-2.77
Co1 0.0064 0.5000 0.2732 (multiplicity 4)  4 O 1.80-2.00
O1 0.0063 0.0000 0.2808 (multiplicity 4)  2 Co 2.00
O2 0.1286 0.5000 0.7928 (multiplicity 4)  1 Co 1.80
O3 0.1427 0.5000 0.3468 (multiplicity 4)  1 Co 1.82

Results
Volume (A^3/atom): 18.31
VASP energy (eV per formula unit): -32.32